(1)
The following is a DFT calculation (GGA-PBE) of HoEr2Th4 after structural relaxation.

Cell and atoms, written as POSCAR:
```
HoEr2Th4
1.0
-2.833 2.833 8.172
2.833 -2.833 8.172
2.833 2.833 -8.172
Ho Er Th
1 2 4
direct
0.000 0.000 0.000
0.386 0.386 0.000
0.614 0.614 0.000
0.000 0.500 0.500
0.186 0.186 0.000
0.500 0.000 0.500
0.814 0.814 0.000
```

Results
As for the symmetry: I4/mmm (139). The value obtained for the total magnetization is 0.002 μB per cell. The value obtained for the mass density is 9033 kg/m3. The value obtained for the energy above the most stable polymorph in this dataset is 651.0 meV per atom. The calculation puts the final energy at -36.51 eV/cell. For the formation energy, the calculation gives 22.65 kcal/mol of atoms.


(2)
The following is a DFT calculation (GGA-PBE) of TlGaAg after structural relaxation.

Cell and atoms, written as POSCAR:
```
TlGaAg
1.0
0.000 3.324 3.324
3.324 0.000 3.324
3.324 3.324 0.000
Tl Ga Ag
1 1 1
direct
0.000 0.000 0.000
0.500 0.500 0.500
0.250 0.250 0.250
```

Results
As for the symmetry: F-43m (216). The value obtained for the total magnetization is 0.000 μB per cell. The value obtained for the mass density is 8633 kg/m3. The value obtained for the energy above the most stable polymorph in this dataset is 31.5 meV per atom. The calculation puts the final energy at -7.85 eV/cell. For the formation energy, the calculation gives 3.05 kcal/mol of atoms.


(3)
The following is a DFT calculation (GGA-PBE) of LaMgPb after structural relaxation.

Cell and atoms, written as POSCAR:
```
LaMgPb
1.0
0.000 3.764 3.764
3.764 0.000 3.764
3.764 3.764 0.000
La Mg Pb
1 1 1
direct
0.000 0.000 0.000
0.750 0.750 0.750
0.250 0.250 0.250
```

Results
As for the symmetry: F-43m (216). The value obtained for the total magnetization is 0.000 μB per cell. The value obtained for the mass density is 5766 kg/m3. The calculation puts the final energy at -10.17 eV/cell. For the formation energy, the calculation gives 0.44 kcal/mol of atoms.


(4)
The following is a DFT calculation (GGA-PBE) of YNi3H3 after structural relaxation.

Cell and atoms, written as POSCAR:
```
YNi3H3
1.0
0.000 4.284 4.284
4.284 0.000 4.284
4.284 4.284 0.000
Y Ni H
2 6 6
direct
0.250 0.250 0.250
0.750 0.750 0.750
0.196 0.196 0.804
0.196 0.804 0.196
0.196 0.804 0.804
0.804 0.196 0.196
0.804 0.196 0.804
0.804 0.804 0.196
0.367 0.367 0.633
0.367 0.633 0.367
0.367 0.633 0.633
0.633 0.367 0.367
0.633 0.367 0.633
0.633 0.633 0.367
```

Results
As for the symmetry: Fm-3m (225). The value obtained for the total magnetization is 0.002 μB per cell. The value obtained for the mass density is 5660 kg/m3. The calculation puts the final energy at -65.17 eV/cell.


(5)
The following is a DFT calculation (GGA-PBE) of Ac5Tl2Zn after structural relaxation.

Cell and atoms, written as POSCAR:
```
Ac5Tl2Zn
1.0
7.447 0.000 0.000
0.000 14.137 0.000
0.000 0.000 5.526
Ac Tl Zn
10 4 2
direct
0.000 0.000 0.000
0.137 0.283 0.000
0.161 0.594 0.500
0.339 0.094 0.500
0.363 0.783 0.000
0.500 0.500 0.000
0.637 0.217 0.000
0.661 0.906 0.500
0.839 0.406 0.500
0.863 0.717 0.000
0.118 0.848 0.500
0.382 0.348 0.500
0.618 0.652 0.500
0.882 0.152 0.500
0.000 0.500 0.000
0.500 0.000 0.000
```

Results
As for the symmetry: Pbam (55). The value obtained for the total magnetization is 0.000 μB per cell. The value obtained for the mass density is 9186 kg/m3. The calculation puts the final energy at -56.89 eV/cell. For the formation energy, the calculation gives -5.47 kcal/mol of atoms.


(6)
The following is a DFT calculation (GGA-PBE) of CsZnGePSe after structural relaxation.

Cell and atoms, written as POSCAR:
```
CsZnGePSe
1.0
3.837 0.000 0.000
-0.011 5.532 0.000
-1.915 -1.623 7.285
Cs Zn Ge P Se
1 1 1 1 1
direct
0.000 0.000 0.000
0.791 0.239 0.585
0.188 0.592 0.384
0.691 0.861 0.388
0.364 0.477 0.731
```

Results
As for the symmetry: P1 (1). The value obtained for the total magnetization is 0.000 μB per cell. The value obtained for the mass density is 4089 kg/m3. The value obtained for the energy above the most stable polymorph in this dataset is 69.3 meV per atom. The value obtained for the formation energy from raw total energies is -0.402 eV per atom. The calculation puts the final energy at -17.65 eV/cell.